The following is a PBE-GGA calculation of crystalline MoBr2Cl at its relaxed geometry, from Alexandria via LeMat-Bulk.

Unit cell a=5.065 b=5.775 c=5.071 alpha=76.80 beta=61.29 gamma=103.16
Site moments in Bohr magnetons follow the coordinates.
Fractional positions:
Mo 0.500 0.500 0.000  3.62
Br 0.000 0.000 0.000  -0.01
Br 0.500 0.000 0.500  -0.01
Cl 0.000 0.500 0.500  0.03

Output
Symmetry ... No. 69
Relative energy among the computed polymorphs ... 1.022 eV per atom
E ... -13.960 eV per cell